(1)
MgPt2O4 | PBE | optimized geometry

Computed properties:
**Crystal system**: tetragonal
**E**: -5.514 eV/atom
**Total magnetic moment**: 1.07 μB/f.u.

Cell lengths 6.2499, 6.2499, 6.2499 Å; angles 120.06, 120.06, 89.90 degrees
With the nearest neighbours (Å) after each atom.
Fractional positions:
Mg  0.3750  0.6250  0.7500  4 O 2.04
Mg  0.6250  0.3750  0.2500  4 O 2.04
Pt  0.0000  0.0000  0.0000  6 O 2.14
Pt  0.0000  0.0000  0.5000  6 O 2.14
Pt  0.0000  0.5000  0.0000  6 O 2.14
Pt  0.5000  0.0000  0.5000  6 O 2.14
O  0.2254  0.2420  0.9835  1 Mg 2.04, 3 Pt 2.14
O  0.2420  0.2254  0.4835  1 Mg 2.04, 3 Pt 2.14
O  0.2420  0.7585  0.0165  1 Mg 2.04, 3 Pt 2.14
O  0.2415  0.7580  0.4835  1 Mg 2.04, 3 Pt 2.14
O  0.7585  0.2420  0.5165  1 Mg 2.04, 3 Pt 2.14
O  0.7580  0.2415  0.9835  1 Mg 2.04, 3 Pt 2.14
O  0.7580  0.7746  0.5165  1 Mg 2.04, 3 Pt 2.14
O  0.7746  0.7580  0.0165  1 Mg 2.04, 3 Pt 2.14



(2)
MgPtO2 | PBE | optimized geometry

Computed properties:
**Crystal system**: trigonal
**E**: -5.811 eV/atom
**Total magnetic moment**: 0.15 μB/f.u.

Cell lengths 6.3439, 6.3439, 6.3439 Å; angles 26.61, 26.61, 26.61 degrees
With the nearest neighbours (Å) after each atom.
Fractional positions:
Mg  0.0000  0.0000  0.0000  6 O 2.03
Pt  0.5000  0.5000  0.5000  2 O 1.93
O  0.3946  0.3946  0.3946  1 Pt 1.93, 3 Mg 2.03
O  0.6054  0.6054  0.6054  1 Pt 1.93, 3 Mg 2.03



(3)
MgPtSO | PBE | optimized geometry

Computed properties:
**Crystal system**: tetragonal
**Offset from the most stable computed form**: 634 meV/atom
**Total magnetic moment**: 0.00 μB/f.u.

Cell lengths 4.6239, 4.6239, 6.6155 Å; angles 90.00, 90.00, 90.00 degrees
With the nearest neighbours (Å) after each atom.
Fractional positions:
Mg  0.2500  0.2500  0.1840  1 O 1.82
Mg  0.7500  0.7500  0.8160  1 O 1.82
Pt  0.2500  0.2500  0.5977  1 O 2.06
Pt  0.7500  0.7500  0.4023  1 O 2.06
S  0.2500  0.7500  0.5000  4 Pt 2.40
S  0.7500  0.2500  0.5000  4 Pt 2.40
O  0.2500  0.2500  0.9085  1 Mg 1.82
O  0.7500  0.7500  0.0915  1 Mg 1.82



(4)
MgPtSO | PBE | optimized geometry

Computed properties:
**Crystal system**: orthorhombic
**Offset from the most stable computed form**: 198 meV/atom
**Total magnetic moment**: 0.00 μB/f.u.

Cell lengths 7.2273, 8.5194, 8.0155 Å; angles 90.00, 90.00, 90.00 degrees
With the nearest neighbours (Å) after each atom.
Fractional positions:
Mg  0.2436  0.0709  0.0541  2 O 2.12-2.26
Mg  0.2436  0.4291  0.5541  2 O 2.12-2.26
Mg  0.2564  0.5709  0.0541  2 O 2.12-2.26
Mg  0.2564  0.9291  0.5541  2 O 2.12-2.26
Mg  0.7436  0.0709  0.4459  2 O 2.12-2.26
Mg  0.7436  0.4291  0.9459  2 O 2.12-2.26
Mg  0.7564  0.5709  0.4459  2 O 2.12-2.26
Mg  0.7564  0.9291  0.9459  2 O 2.12-2.26
Pt  0.0197  0.6824  0.7627  2 O 2.07-2.14, 2 S 2.29-2.30
Pt  0.0197  0.8176  0.2627  2 O 2.07-2.14, 2 S 2.29-2.30
Pt  0.4803  0.1824  0.7627  2 O 2.07-2.14, 2 S 2.29-2.30
Pt  0.4803  0.3176  0.2627  2 O 2.07-2.14, 2 S 2.29-2.30
Pt  0.5197  0.6824  0.7373  2 O 2.07-2.14, 2 S 2.29-2.30
Pt  0.5197  0.8176  0.2373  2 O 2.07-2.14, 2 S 2.29-2.30
Pt  0.9803  0.1824  0.7373  2 O 2.07-2.14, 2 S 2.29-2.30
Pt  0.9803  0.3176  0.2373  2 O 2.07-2.14, 2 S 2.29-2.30
S  0.0874  0.5598  0.3179  2 Pt 2.29-2.30, 2 Mg 2.44-2.47
S  0.0874  0.9402  0.8179  2 Pt 2.29-2.30, 2 Mg 2.44-2.47
S  0.4126  0.0598  0.3179  2 Pt 2.29-2.30, 2 Mg 2.44-2.47
S  0.4126  0.4402  0.8179  2 Pt 2.29-2.30, 2 Mg 2.44-2.47
S  0.5874  0.5598  0.1821  2 Pt 2.29-2.30, 2 Mg 2.44-2.47
S  0.5874  0.9402  0.6821  2 Pt 2.29-2.30, 2 Mg 2.44-2.47
S  0.9126  0.0598  0.1821  2 Pt 2.29-2.30, 2 Mg 2.44-2.47
S  0.9126  0.4402  0.6821  2 Pt 2.29-2.30, 2 Mg 2.44-2.47
O  0.2337  0.1876  0.6160  2 Pt 2.07-2.14, 2 Mg 2.12-2.26
O  0.2337  0.3124  0.1160  2 Pt 2.07-2.14, 2 Mg 2.12-2.26
O  0.2663  0.6876  0.6160  2 Pt 2.07-2.14, 2 Mg 2.12-2.26
O  0.2663  0.8124  0.1160  2 Pt 2.07-2.14, 2 Mg 2.12-2.26
O  0.7337  0.1876  0.8840  2 Pt 2.07-2.14, 2 Mg 2.12-2.26
O  0.7337  0.3124  0.3840  2 Pt 2.07-2.14, 2 Mg 2.12-2.26
O  0.7663  0.6876  0.8840  2 Pt 2.07-2.14, 2 Mg 2.12-2.26
O  0.7663  0.8124  0.3840  2 Pt 2.07-2.14, 2 Mg 2.12-2.26



(5)
MgPtSO | PBE | optimized geometry

Computed properties:
**Crystal system**: tetragonal
**Offset from the most stable computed form**: 548 meV/atom
**Total magnetic moment**: 0.00 μB/f.u.

Cell lengths 3.1237, 3.1237, 11.0629 Å; angles 90.00, 90.00, 90.00 degrees
With the nearest neighbours (Å) after each atom.
Fractional positions:
Mg  0.2500  0.2500  0.1016  5 O 2.07-2.22
Mg  0.7500  0.7500  0.8984  5 O 2.07-2.22
Pt  0.2500  0.2500  0.7141  1 O 2.22
Pt  0.7500  0.7500  0.2859  1 O 2.22
S  0.2500  0.7500  0.5000  4 S 2.21
S  0.7500  0.2500  0.5000  4 S 2.21
O  0.2500  0.2500  0.9144  5 Mg 2.07-2.22, 1 Pt 2.22
O  0.7500  0.7500  0.0856  5 Mg 2.07-2.22, 1 Pt 2.22



(6)
MgPtSO | PBE | optimized geometry

Computed properties:
**Crystal system**: orthorhombic
**Offset from the most stable computed form**: 208 meV/atom
**Total magnetic moment**: 0.00 μB/f.u.

Cell lengths 5.8766, 6.0251, 7.4013 Å; angles 90.00, 90.00, 90.00 degrees
With the nearest neighbours (Å) after each atom.
Fractional positions:
Mg  0.1986  0.1332  0.0131  2 O 2.01-2.04
Mg  0.3014  0.8668  0.5131  2 O 2.01-2.04
Mg  0.6986  0.3668  0.9869  2 O 2.01-2.04
Mg  0.8014  0.6332  0.4869  2 O 2.01-2.04
Pt  0.2318  0.4844  0.7477  2 O 2.14-2.16, 2 S 2.29-2.31
Pt  0.2682  0.5156  0.2477  2 O 2.14-2.16, 2 S 2.29-2.31
Pt  0.7318  0.0156  0.2523  2 O 2.14-2.16, 2 S 2.29-2.31
Pt  0.7682  0.9844  0.7523  2 O 2.14-2.16, 2 S 2.29-2.31
S  0.0834  0.8529  0.2324  2 Pt 2.29-2.31, 2 Mg 2.44
S  0.4166  0.1471  0.7324  2 Pt 2.29-2.31, 2 Mg 2.44
S  0.5834  0.6471  0.7676  2 Pt 2.29-2.31, 2 Mg 2.44
S  0.9166  0.3529  0.2676  2 Pt 2.29-2.31, 2 Mg 2.44
O  0.0349  0.7634  0.6612  2 Mg 2.01-2.04, 2 Pt 2.14-2.16
O  0.4651  0.2366  0.1612  2 Mg 2.01-2.04, 2 Pt 2.14-2.16
O  0.5349  0.7366  0.3388  2 Mg 2.01-2.04, 2 Pt 2.14-2.16
O  0.9651  0.2634  0.8388  2 Mg 2.01-2.04, 2 Pt 2.14-2.16